Record 1
5
Lattice="5.048 0.000 0.000 0.000 5.048 0.000 0.000 0.000 5.141" Properties=species:S:1:pos:R:3 comment="Hf2MnPdBr GGA-PBE optimized geometry" crystal_system=tetragonal magnetic_moment_mub_per_atom=0.721 polymorph_energy_ev_per_atom=0.386 e_form_raw_ev_per_atom=0.949 pbc="T T T"
Hf 2.524 0.000 0.000
Hf 0.000 2.524 0.000
Pd 0.000 0.000 0.000
Mn 2.524 2.524 2.570
Br 0.000 0.000 2.570

---

Record 2
5
Lattice="4.796 0.000 0.000 0.000 4.492 0.000 0.000 0.000 4.796" Properties=species:S:1:pos:R:3 comment="Hf2MnPdBr GGA-PBE optimized geometry" crystal_system=tetragonal magnetic_moment_mub_per_atom=0.000 polymorph_energy_ev_per_atom=0.000 e_form_raw_ev_per_atom=0.562 pbc="T T T"
Pd 2.398 2.246 2.398
Mn 0.000 0.000 0.000
Hf 0.000 0.000 2.398
Hf 2.398 0.000 0.000
Br 0.000 2.246 0.000

---

Record 3
5
Lattice="-4.873 -0.290 -0.251 0.312 -1.136 -4.744 0.216 -4.604 1.117" Properties=species:S:1:pos:R:3 comment="HfMnSe2Br GGA-PBE optimized geometry" crystal_system=tetragonal magnetic_moment_mub_per_atom=0.817 polymorph_energy_ev_per_atom=0.440 e_form_raw_ev_per_atom=0.166 pbc="T T T"
Br 0.108 -2.302 0.559
Se 0.156 -0.568 -2.372
Mn 0.000 0.000 0.000
Hf -2.172 -3.015 -1.939
Se -2.436 -0.145 -0.126

---

Record 4
5
Lattice="-3.805 -3.498 -0.529 3.157 -3.708 1.810 -1.621 1.020 4.917" Properties=species:S:1:pos:R:3 comment="HfMnSe2Br GGA-PBE optimized geometry" crystal_system=tetragonal magnetic_moment_mub_per_atom=1.180 polymorph_energy_ev_per_atom=0.000 e_form_raw_ev_per_atom=-0.275 pbc="T T T"
Hf 0.000 0.000 0.000
Br -0.810 0.510 2.459
Se 1.579 -1.854 0.905
Mn -1.134 -3.093 3.099
Se -1.903 -1.749 -0.264

---

Record 5
5
Lattice="-3.068 -4.052 0.581 2.191 -1.047 4.269 -3.398 2.926 2.462" Properties=species:S:1:pos:R:3 comment="HfMnVBr2 GGA-PBE optimized geometry" crystal_system=tetragonal magnetic_moment_mub_per_atom=0.577 e_form_raw_ev_per_atom=1.131 pbc="T T T"
Hf 0.000 0.000 0.000
Br -1.534 -2.026 0.291
V -2.137 -1.086 3.656
Mn 1.096 -0.524 2.134
Br -1.699 1.463 1.231

---

Record 6
4
Lattice="0.000 3.361 3.361 3.361 0.000 3.361 3.361 3.361 0.000" Properties=species:S:1:pos:R:3 comment="HfMoBr2 GGA-PBE optimized geometry" crystal_system=cubic magnetic_moment_mub_per_atom=0.663 polymorph_energy_ev_per_atom=0.417 e_form_raw_ev_per_atom=0.605 pbc="T T T"
Mo 0.000 0.000 0.000
Br 1.680 1.680 1.680
Br 5.041 5.041 5.041
Hf 3.361 3.361 3.361

---

Record 7
4
Lattice="1.847 0.000 9.179 -0.924 1.600 9.179 -0.924 -1.600 9.179" Properties=species:S:1:pos:R:3 comment="HfMoBr2 GGA-PBE optimized geometry" crystal_system=trigonal magnetic_moment_mub_per_atom=0.000 polymorph_energy_ev_per_atom=0.000 e_form_raw_ev_per_atom=0.187 pbc="T T T"
Br 0.000 0.000 24.986
Hf 0.000 0.000 13.769
Mo 0.000 0.000 0.000
Br 0.000 0.000 2.551

---

Record 8
5
Lattice="4.891 0.000 0.000 0.000 4.891 0.000 0.000 0.000 4.891" Properties=species:S:1:pos:R:3 comment="HfMo3Br GGA-PBE optimized geometry" crystal_system=cubic magnetic_moment_mub_per_atom=0.000 polymorph_energy_ev_per_atom=0.988 e_form_raw_ev_per_atom=2.237 pbc="T T T"
Hf 0.000 0.000 0.000
Mo 0.000 0.000 2.446
Br 2.446 2.446 2.446
Mo 0.000 2.446 0.000
Mo 2.446 0.000 0.000